Material: Tm7MgRu4
Method: DFT, GGA-PBE
State: optimized geometry

Lattice parameters (Å, degrees): 13.4232 5.3136 9.5798 90.00 126.05 90.00
Closest atoms and distances in Å follow each position.
Space group C2/m (No. 12)
One atom of each set of equivalent atoms:
Tm (0.0000, 0.0000, 0.0000) (multiplicity 2)  2 Mg 2.66, 4 Ru 2.72-2.77
Tm (0.0749, 0.5000, 0.3732) (multiplicity 4)  1 Ru 2.63
Tm (0.1791, 0.0000, 0.6301) (multiplicity 4)  2 Ru 2.64-2.87
Tm (0.2164, 0.5000, 0.8765) (multiplicity 4)  4 Ru 2.84-3.14, 1 Tm 3.16
Mg (0.0000, 0.5000, 0.0000) (multiplicity 2)  2 Tm 2.66
Ru (0.0650, 0.0000, 0.7798) (multiplicity 4)  3 Tm 2.64-2.84
Ru (0.1970, 0.0000, 0.3457) (multiplicity 4)  3 Tm 2.63-2.87

total moment = 0.0 μB/f.u.
formation enthalpy at 0 K = -0.123 eV/atom